No. 1
Here is crystalline LiCuNi2 at its relaxed geometry from Alexandria via LeMat-Bulk. Energies are from PBE.

Computed properties:
For the total energy, the calculation gives -4.3525 eV per atom. The formation enthalpy at 0 K is 0.04 eV per atom.

Cell: 4.8557 4.8557 4.8557 Å, 148.79 129.32 60.73°
With the nearest neighbours (Å) after each atom.
Positions (direct):
1 Li 0.0000 0.0000 0.0000  6 Ni 2.45-2.51, 2 Cu 2.51, 2 Li 2.61
2 Cu 0.7439 0.2439 0.5000  6 Ni 2.46-2.47, 2 Li 2.51, 2 Cu 2.61
3 Ni 0.2558 0.7558 0.5000  4 Ni 2.39-2.61, 4 Cu 2.46, 2 Li 2.51
4 Ni 0.4943 0.4943 0.0000  4 Ni 2.39-2.61, 4 Li 2.45, 2 Cu 2.47

---

No. 2
Here is crystalline PmPt4Au at its relaxed geometry from Alexandria via LeMat-Bulk. Energies are from PBE.

Computed properties:
For the total energy, the calculation gives -6.0738 eV per atom. The formation enthalpy at 0 K is -0.71 eV per atom.

Cell: 5.3922 5.3922 5.3922 Å, 60.00 60.00 60.00°
With the nearest neighbours (Å) after each atom.
Positions (direct):
1 Pm 0.0000 0.0000 0.0000  12 Pt 3.16, 4 Au 3.30
2 Pt 0.3756 0.3756 0.3756  6 Pt 2.68-2.71
3 Pt 0.3756 0.3756 0.8733  6 Pt 2.68-2.71
4 Pt 0.3756 0.8733 0.3756  6 Pt 2.68-2.71
5 Pt 0.8733 0.3756 0.3756  6 Pt 2.68-2.71
6 Au 0.7500 0.7500 0.7500  12 Pt 3.16, 4 Pm 3.30

---

No. 3
Here is crystalline Sb2PtCl at its relaxed geometry from Alexandria via LeMat-Bulk. Energies are from PBE.

Computed properties:
For the total energy, the calculation gives -3.9535 eV per atom. Its uncorrected formation energy is 0.32 eV/f.u. For the distance to the lowest polymorph of the same formula, the calculation gives 558.2 meV per atom.

Cell: 3.3518 3.3518 9.0830 Å, 90.00 90.00 112.39°
With the nearest neighbours (Å) after each atom.
Positions (direct):
1 Sb 0.0000 0.0000 0.0000  2 Pt 2.58
2 Sb 0.5000 0.5000 0.3057  2 Cl 3.28, 6 Sb 3.35
3 Pt 0.5000 0.5000 0.8035  2 Sb 2.58, 2 Cl 2.61
4 Cl 0.0000 0.0000 0.6028  2 Pt 2.61

---

No. 4
Here is crystalline Rb3InBi2 at its relaxed geometry from Alexandria via LeMat-Bulk. Energies are from PBE.

Computed properties:
For the total energy, the calculation gives -2.5799 eV per atom. The formation enthalpy at 0 K is -0.35 eV per atom. For the distance to the lowest polymorph of the same formula, the calculation gives 0.0 meV per atom.

Cell: 10.0330 10.0330 10.0330 Å, 125.74 74.07 133.67°
With the nearest neighbours (Å) after each atom.
Positions (direct):
1 Rb 0.1761 0.6867 0.8628  2 Bi 3.70-3.83, 2 In 3.84
2 Rb 0.2500 0.2500 0.0000  4 Bi 3.77, 2 Rb 3.95
3 Rb 0.3239 0.1867 0.5105  2 Bi 3.70-3.83, 2 In 3.84
4 Rb 0.6761 0.8133 0.4895  2 Bi 3.70-3.83, 2 In 3.84
5 Rb 0.7500 0.7500 0.0000  4 Bi 3.77, 2 Rb 3.95
6 Rb 0.8239 0.3133 0.1372  2 Bi 3.70-3.83, 2 In 3.84
7 In 0.2500 0.7500 0.5000  4 Bi 3.05
8 In 0.7500 0.2500 0.5000  4 Bi 3.05
9 Bi 0.0953 0.3084 0.4036  2 In 3.05
10 Bi 0.4047 0.8084 0.2131  2 In 3.05
11 Bi 0.5953 0.1916 0.7869  2 In 3.05
12 Bi 0.9047 0.6916 0.5964  2 In 3.05

---

No. 5
Here is crystalline Mn2NiRu at its relaxed geometry from Alexandria via LeMat-Bulk. Energies are from PBE.

Computed properties:
For the total energy, the calculation gives -7.8179 eV per atom. The formation enthalpy at 0 K is 0.53 eV per atom.

Cell: 8.6569 8.6569 8.6569 Å, 156.75 156.75 33.12°
With the nearest neighbours (Å) after each atom.
Positions (direct):
1 Mn 0.0724 0.6250 0.9474  2 Mn 2.22, 2 Ni 2.35, 2 Ru 2.49
2 Mn 0.3750 0.3224 0.4474  2 Mn 2.22, 2 Ni 2.35, 2 Ru 2.49
3 Mn 0.6776 0.1250 0.0526  2 Mn 2.22, 2 Ni 2.35, 2 Ru 2.49
4 Mn 0.8750 0.9276 0.5526  2 Mn 2.22, 2 Ni 2.35, 2 Ru 2.49
5 Ni 0.0000 0.0000 0.0000  4 Mn 2.35, 4 Ru 2.47
6 Ni 0.7500 0.2500 0.5000  4 Mn 2.35, 4 Ru 2.47
7 Ru 0.2500 0.7500 0.5000  4 Ni 2.47, 4 Mn 2.49
8 Ru 0.5000 0.5000 0.0000  4 Ni 2.47, 4 Mn 2.49

---

No. 6
Here is crystalline AuSN at its relaxed geometry from Alexandria via LeMat-Bulk. Energies are from PBE.

Computed properties:
For the total energy, the calculation gives -4.5053 eV per atom. Its uncorrected formation energy is 2.21 eV/f.u. For the distance to the lowest polymorph of the same formula, the calculation gives 499.5 meV per atom.

Cell: 3.8479 4.3110 7.4473 Å, 95.14 93.97 114.93°
With the nearest neighbours (Å) after each atom.
Positions (direct):
1 Au 0.2038 0.3462 0.0924  1 S 2.51, 2 Au 2.66-2.81
2 Au 0.7962 0.6538 0.9076  1 S 2.51, 2 Au 2.66-2.81
3 S 0.1382 0.7166 0.6281  2 N 1.66-1.67
4 S 0.8618 0.2834 0.3719  2 N 1.66-1.67
5 N 0.0899 0.3140 0.5755  2 S 1.66-1.67
6 N 0.9101 0.6860 0.4245  2 S 1.66-1.67

---

No. 7
Here is crystalline Ac9La2Nd at its relaxed geometry from Alexandria via LeMat-Bulk. Energies are from PBE.

Computed properties:
For the total energy, the calculation gives -4.2837 eV per atom. The formation enthalpy at 0 K is 0.02 eV per atom.

Cell: 5.5494 5.5494 16.6502 Å, 90.00 90.00 90.00°
With the nearest neighbours (Å) after each atom.
Positions (direct):
1 Ac 0.0000 0.0000 0.0000  8 Ac 3.91, 4 Nd 3.92
2 Ac 0.0000 0.0000 0.3325  4 La 3.92, 8 Ac 3.93
3 Ac 0.0000 0.0000 0.6675  4 La 3.92, 8 Ac 3.93
4 Ac 0.0000 0.5000 0.1655  2 Nd 3.91, 8 Ac 3.91-3.93, 2 La 3.93
5 Ac 0.0000 0.5000 0.5000  8 Ac 3.92-3.93, 4 La 3.93
6 Ac 0.0000 0.5000 0.8345  2 Nd 3.91, 8 Ac 3.91-3.93, 2 La 3.93
7 Ac 0.5000 0.0000 0.1655  2 Nd 3.91, 8 Ac 3.91-3.93, 2 La 3.93
8 Ac 0.5000 0.0000 0.5000  8 Ac 3.92-3.93, 4 La 3.93
9 Ac 0.5000 0.0000 0.8345  2 Nd 3.91, 8 Ac 3.91-3.93, 2 La 3.93
10 La 0.5000 0.5000 0.3330  12 Ac 3.92-3.93
11 La 0.5000 0.5000 0.6670  12 Ac 3.92-3.93
12 Nd 0.5000 0.5000 0.0000  12 Ac 3.91-3.92

---

No. 8
Here is crystalline La6Co2Ir at its relaxed geometry from Alexandria via LeMat-Bulk. Energies are from PBE.

Computed properties:
For the total energy, the calculation gives -6.1139 eV per atom. The formation enthalpy at 0 K is -0.27 eV per atom.

Cell: 7.1689 7.1689 6.6122 Å, 90.00 90.00 120.00°
With the nearest neighbours (Å) after each atom.
Positions (direct):
1 La 0.0000 0.3424 0.2230  2 Co 2.78, 1 Ir 2.86
2 La 0.0000 0.6576 0.7770  2 Co 2.78, 1 Ir 2.86
3 La 0.3424 0.0000 0.2230  2 Co 2.78, 1 Ir 2.86
4 La 0.3424 0.3424 0.7770  2 Co 2.78, 1 Ir 2.86
5 La 0.6576 0.0000 0.7770  2 Co 2.78, 1 Ir 2.86
6 La 0.6576 0.6576 0.2230  2 Co 2.78, 1 Ir 2.86
7 Co 0.3333 0.6667 0.0000  6 La 2.78
8 Co 0.6667 0.3333 0.0000  6 La 2.78
9 Ir 0.0000 0.0000 0.0000  6 La 2.86

---

Across the entries above, total magnetization takes the values 0.43, 0.00, 0.00, 0.00, 0.00, 0.00, 0.00, 0.00 μB per formula unit, respectively.